# LaMnBr3 GGA-PBE relaxed
data_LaMnBr3
_space_group_name_H-M_alt 'P 1'
_space_group_IT_number 1
_cell_length_a 5.846
_cell_length_b 5.846
_cell_length_c 5.846
_cell_angle_alpha 90.00
_cell_angle_beta 90.00
_cell_angle_gamma 90.00
loop_
_space_group_symop_operation_xyz
'x,y,z'
loop_
_atom_site_label
_atom_site_fract_x
_atom_site_fract_y
_atom_site_fract_z
_atom_site_occupancy
La1 0.000 0.000 0.000 1
Mn1 0.500 0.500 0.500 1
Br1 0.000 0.000 0.500 1
Br2 0.000 0.500 0.000 1
Br3 0.500 0.000 0.000 1
# Raw formation energy   -774 meV/atom
# Fermi-level density of states   2.48 states/eV/f.u.
# Excess energy over the best structure of this formula in the dataset   0.00 eV/f.u.